# 1
First-principles (GGA-PBE) data for a relaxed Al2AgOs crystal, as listed in Alexandria.

Computed properties:
The calculation puts the formation energy from the elements at 19 kJ/mol of atoms. As for the space group: No. 99. The electronic total energy is -5.196 eV/atom.

Unit cell a=2.811 b=2.811 c=8.039 alpha=90.00 beta=90.00 gamma=90.00
Fractional coordinates of all 4 atoms:
Al 0.000 0.000 0.000
Al 0.500 0.500 0.266
Ag 0.500 0.500 0.743
Os 0.000 0.000 0.476

# 2
First-principles (GGA-PBE) data for a relaxed Al2AgOs crystal, as listed in Alexandria.

Computed properties:
The calculation puts the formation energy from the elements at -18 kJ/mol of atoms. As for the space group: No. 123. The electronic total energy is -5.582 eV/atom.

Unit cell a=4.367 b=4.367 c=3.091 alpha=90.00 beta=90.00 gamma=90.00
Fractional coordinates of all 4 atoms:
Al 0.000 0.500 0.000
Al 0.500 0.000 0.000
Ag 0.000 0.000 0.500
Os 0.500 0.500 0.500

# 3
First-principles (GGA-PBE) data for a relaxed Al4AgOs crystal, as listed in Alexandria.

Computed properties:
The calculation puts the formation energy from the elements at 17 kJ/mol of atoms. As for the space group: No. 216. The electronic total energy is -4.669 eV/atom.

Unit cell a=5.063 b=5.063 c=5.063 alpha=60.00 beta=60.00 gamma=60.00
Fractional coordinates of all 6 atoms:
Al 0.124 0.124 0.124
Al 0.124 0.124 0.627
Al 0.124 0.627 0.124
Al 0.627 0.124 0.124
Ag 0.500 0.500 0.500
Os 0.750 0.750 0.750

# 4
First-principles (GGA-PBE) data for a relaxed Al2AgOs crystal, as listed in Alexandria.

Computed properties:
The calculation puts the formation energy from the elements at 8 kJ/mol of atoms. As for the space group: No. 160. The electronic total energy is -5.304 eV/atom.

Unit cell a=9.034 b=9.034 c=9.034 alpha=18.16 beta=18.16 gamma=18.16
Fractional coordinates of all 4 atoms:
Al 0.000 0.000 0.000
Al 0.248 0.248 0.248
Ag 0.499 0.499 0.499
Os 0.741 0.741 0.741

# 5
First-principles (GGA-PBE) data for a relaxed Al2AgOs crystal, as listed in Alexandria.

Computed properties:
The calculation puts the formation energy from the elements at -18 kJ/mol of atoms. As for the space group: No. 8. The electronic total energy is -5.579 eV/atom.

Unit cell a=4.944 b=4.944 c=4.317 alpha=105.88 beta=105.88 gamma=36.71
Fractional coordinates of all 4 atoms:
Al 0.000 0.000 0.000
Al 0.239 0.239 0.636
Ag 0.748 0.748 0.150
Os 0.510 0.510 0.519

# 6
First-principles (GGA-PBE) data for a relaxed Al2AgOs crystal, as listed in Alexandria.

Computed properties:
The calculation puts the formation energy from the elements at 22 kJ/mol of atoms. As for the space group: No. 216. The electronic total energy is -5.160 eV/atom.

Unit cell a=4.435 b=4.435 c=4.435 alpha=60.00 beta=60.00 gamma=60.00
Fractional coordinates of all 4 atoms:
Al 0.000 0.000 0.000
Al 0.250 0.250 0.250
Ag 0.500 0.500 0.500
Os 0.750 0.750 0.750

# 7
First-principles (GGA-PBE) data for a relaxed AlAg4Os crystal, as listed in Alexandria.

Computed properties:
The calculation puts the formation energy from the elements at 70 kJ/mol of atoms. As for the space group: No. 216. The electronic total energy is -3.670 eV/atom.

Unit cell a=5.309 b=5.309 c=5.309 alpha=60.00 beta=60.00 gamma=60.00
Fractional coordinates of all 6 atoms:
Al 0.000 0.000 0.000
Ag 0.375 0.375 0.375
Ag 0.375 0.375 0.875
Ag 0.375 0.875 0.375
Ag 0.875 0.375 0.375
Os 0.750 0.750 0.750

# 8
First-principles (GGA-PBE) data for a relaxed Al2AgOs crystal, as listed in Alexandria.

Computed properties:
The calculation puts the formation energy from the elements at -14 kJ/mol of atoms. As for the space group: No. 44. The electronic total energy is -5.534 eV/atom.

Unit cell a=5.276 b=5.276 c=5.276 alpha=144.94 beta=133.55 gamma=59.50
Fractional coordinates of all 4 atoms:
Al 0.000 0.000 0.000
Al 0.734 0.234 0.500
Ag 0.483 0.483 0.000
Os 0.221 0.721 0.500

# 9
First-principles (GGA-PBE) data for a relaxed Al2AgOs crystal, as listed in Alexandria.

Computed properties:
The calculation puts the formation energy from the elements at -3 kJ/mol of atoms. As for the space group: No. 99. The electronic total energy is -5.422 eV/atom.

Unit cell a=3.336 b=3.336 c=5.563 alpha=90.00 beta=90.00 gamma=90.00
Fractional coordinates of all 4 atoms:
Al 0.000 0.000 0.000
Al 0.500 0.500 0.285
Ag 0.500 0.500 0.780
Os 0.000 0.000 0.458

# 10
First-principles (GGA-PBE) data for a relaxed Al2AgOs2 crystal, as listed in Alexandria.

Computed properties:
The calculation puts the formation energy from the elements at 4 kJ/mol of atoms. As for the space group: No. 127. The electronic total energy is -6.519 eV/atom.

Unit cell a=7.518 b=7.518 c=2.761 alpha=90.00 beta=90.00 gamma=90.00
Fractional coordinates of all 10 atoms:
Al 0.169 0.331 0.000
Al 0.331 0.831 0.000
Al 0.669 0.169 0.000
Al 0.831 0.669 0.000
Ag 0.000 0.000 0.500
Ag 0.500 0.500 0.500
Os 0.127 0.627 0.500
Os 0.373 0.127 0.500
Os 0.627 0.873 0.500
Os 0.873 0.373 0.500

# 11
First-principles (GGA-PBE) data for a relaxed Al2AgOs crystal, as listed in Alexandria.

Computed properties:
The calculation puts the formation energy from the elements at -3 kJ/mol of atoms. As for the space group: No. 65. The electronic total energy is -5.421 eV/atom.

Unit cell a=2.851 b=2.851 c=8.623 alpha=90.00 beta=90.00 gamma=116.46
Fractional coordinates of all 4 atoms:
Al 0.000 0.000 0.231
Al 0.000 0.000 0.769
Ag 0.500 0.500 0.500
Os 0.500 0.500 0.000

# 12
First-principles (GGA-PBE) data for a relaxed AlAg2OsPb crystal, as listed in Alexandria.

Computed properties:
The calculation puts the formation energy from the elements at 78 kJ/mol of atoms. As for the space group: No. 123. The electronic total energy is -4.070 eV/atom.

Unit cell a=5.158 b=5.158 c=4.639 alpha=90.00 beta=90.00 gamma=90.00
Fractional coordinates of all 5 atoms:
Al 0.000 0.000 0.000
Ag 0.000 0.500 0.500
Ag 0.500 0.000 0.500
Os 0.000 0.000 0.500
Pb 0.500 0.500 0.000

# 13
First-principles (GGA-PBE) data for a relaxed ZrAlAgOs crystal, as listed in Alexandria.

Computed properties:
The calculation puts the formation energy from the elements at -21 kJ/mol of atoms. As for the space group: No. 216. The electronic total energy is -6.810 eV/atom.

Unit cell a=4.583 b=4.583 c=4.583 alpha=60.00 beta=60.00 gamma=60.00
Fractional coordinates of all 4 atoms:
Zr 0.000 0.000 0.000
Al 0.500 0.500 0.500
Ag 0.250 0.250 0.250
Os 0.750 0.750 0.750

# 14
First-principles (GGA-PBE) data for a relaxed AlAgP crystal, as listed in Alexandria.

Computed properties:
The calculation puts the formation energy from the elements at 24 kJ/mol of atoms. As for the space group: No. 216. The electronic total energy is -3.757 eV/atom. The calculation puts the offset from the most stable computed form at 291 meV per atom.

Unit cell a=4.330 b=4.330 c=4.330 alpha=60.00 beta=60.00 gamma=60.00
Fractional coordinates of all 3 atoms:
Al 0.000 0.000 0.000
Ag 0.250 0.250 0.250
P 0.500 0.500 0.500

# 15
First-principles (GGA-PBE) data for a relaxed AlAgP crystal, as listed in Alexandria.

Computed properties:
The calculation puts the formation energy from the elements at 23 kJ/mol of atoms. As for the space group: No. 156. The electronic total energy is -3.760 eV/atom. The calculation puts the offset from the most stable computed form at 288 meV per atom.

Unit cell a=4.584 b=4.584 c=2.838 alpha=90.00 beta=90.00 gamma=120.00
Fractional coordinates of all 3 atoms:
Al 0.000 0.000 0.000
Ag 0.333 0.667 0.365
P 0.667 0.333 0.085

# 16
First-principles (GGA-PBE) data for a relaxed AlAgP crystal, as listed in Alexandria.

Computed properties:
The calculation puts the formation energy from the elements at 17 kJ/mol of atoms. As for the space group: No. 107. The electronic total energy is -3.828 eV/atom. The calculation puts the offset from the most stable computed form at 221 meV per atom.

Unit cell a=5.192 b=5.192 c=5.192 alpha=141.80 beta=141.80 gamma=55.14
Fractional coordinates of all 3 atoms:
Al 0.000 0.000 0.000
Ag 0.301 0.301 0.000
P 0.585 0.585 0.000

# 17
First-principles (GGA-PBE) data for a relaxed Al2AgP crystal, as listed in Alexandria.

Computed properties:
The calculation puts the formation energy from the elements at -2 kJ/mol of atoms. As for the space group: No. 44. The electronic total energy is -3.959 eV/atom.

Unit cell a=6.507 b=6.507 c=6.507 alpha=149.89 beta=149.22 gamma=43.59
Fractional coordinates of all 4 atoms:
Al 0.000 0.000 0.000
Al 0.708 0.208 0.500
Ag 0.388 0.388 0.000
P 0.155 0.655 0.500

# 18
First-principles (GGA-PBE) data for a relaxed Al2AgP crystal, as listed in Alexandria.

Computed properties:
The calculation puts the formation energy from the elements at 1 kJ/mol of atoms. As for the space group: No. 47. The electronic total energy is -3.928 eV/atom.

Unit cell a=2.776 b=3.369 c=7.385 alpha=90.00 beta=90.00 gamma=90.00
Fractional coordinates of all 4 atoms:
Al 0.000 0.000 0.247
Al 0.000 0.000 0.753
Ag 0.500 0.500 0.500
P 0.000 0.500 0.000

# 19
First-principles (GGA-PBE) data for a relaxed Al2AgP crystal, as listed in Alexandria.

Computed properties:
The calculation puts the formation energy from the elements at -2 kJ/mol of atoms. As for the space group: No. 99. The electronic total energy is -3.954 eV/atom.

Unit cell a=3.489 b=3.489 c=6.000 alpha=90.00 beta=90.00 gamma=90.00
Fractional coordinates of all 4 atoms:
Al 0.000 0.000 0.000
Al 0.500 0.500 0.330
Ag 0.500 0.500 0.845
P 0.000 0.000 0.400

# 20
First-principles (GGA-PBE) data for a relaxed Al2AgP crystal, as listed in Alexandria.

Computed properties:
The calculation puts the formation energy from the elements at 19 kJ/mol of atoms. As for the space group: No. 119. The electronic total energy is -3.740 eV/atom.

Unit cell a=5.020 b=5.020 c=5.020 alpha=132.57 beta=132.57 gamma=69.34
Fractional coordinates of all 4 atoms:
Al 0.000 0.000 0.000
Al 0.750 0.250 0.500
Ag 0.500 0.500 0.000
P 0.250 0.750 0.500